*P*
Material: Nd6DyY4
Method: DFT, GGA-PBE
State: optimized geometry

Properties
Crystal system: tetragonal
D(E_F) (states/eV per atom): 1.475
Magnetization (μB/cell): 0.00

Lattice parameters (Å, degrees): 6.8338 6.8338 16.5552 90.00 90.00 90.00
Space group I-42m (No. 121)
One atom of each set of equivalent atoms:
Nd 0.0000 0.5000 0.0000
Nd 0.1907 0.1907 0.1766
Dy 0.0000 0.0000 0.0000
Y 0.1754 0.1754 0.3841



*Q*
Material: Nd6DyY4
Method: DFT, GGA-PBE
State: optimized geometry

Properties
Crystal system: orthorhombic
D(E_F) (states/eV per atom): 1.739
Magnetization (μB/cell): 0.02

Lattice parameters (Å, degrees): 5.8842 9.7765 26.0266 90.00 90.00 90.00
Space group Cmcm (No. 63)
One atom of each set of equivalent atoms:
Nd 0.0000 0.0000 0.0000
Nd 0.0000 0.0468 0.2500
Nd 0.0000 0.3028 0.6018
Nd 0.0000 0.3733 0.1828
Dy 0.0000 0.2910 0.7500
Y 0.0000 0.0384 0.1241
Y 0.0000 0.3485 0.0443



Quick one: most stable of them? *Q*



*P*
Material: Nd3Dy4Y4
Method: DFT, GGA-PBE
State: optimized geometry

Properties
Crystal system: orthorhombic
D(E_F) (states/eV per atom): 1.625
Magnetization (μB/cell): 0.00

Lattice parameters (Å, degrees): 10.6201 5.7439 12.1105 90.00 90.00 90.00
Space group Amm2 (No. 38)
One atom of each set of equivalent atoms:
Nd 0.0000 0.0000 0.0000
Nd 0.2911 0.0000 0.1531
Dy 0.0000 0.0000 0.2971
Dy 0.2987 0.0000 0.8500
Dy 0.5000 0.0000 0.3604
Y 0.0000 0.0000 0.7044
Y 0.2112 0.0000 0.4948
Y 0.5000 0.0000 0.6326



*Q*
Material: Nd3Dy4Y4
Method: DFT, GGA-PBE
State: optimized geometry

Properties
Crystal system: orthorhombic
D(E_F) (states/eV per atom): 1.402
Magnetization (μB/cell): 0.00

Lattice parameters (Å, degrees): 3.5720 11.2607 18.5688 90.00 90.00 90.00
Space group Immm (No. 71)
One atom of each set of equivalent atoms:
Nd 0.0000 0.0000 0.0000
Nd 0.0000 0.5000 0.1079
Dy 0.0000 0.0000 0.2235
Dy 0.0000 0.2078 0.5000
Y 0.0000 0.2609 0.3295



Quick one: most stable of them? *P*



*P*
Material: Nd3DyZn8
Method: DFT, GGA-PBE
State: optimized geometry

Properties
Crystal system: trigonal
D(E_F) (states/eV per atom): 0.434
Magnetization (μB/cell): 0.00

Lattice parameters (Å, degrees): 5.5598 5.5598 27.1114 90.00 90.00 120.00
Space group R3m (No. 160, hexagonal axes)
One atom of each set of equivalent atoms:
Nd 0.0000 0.0000 0.0000
Nd 0.0000 0.0000 0.1249
Nd 0.0000 0.0000 0.6260
Dy 0.0000 0.0000 0.5013
Zn 0.0000 0.0000 0.3132
Zn 0.0000 0.0000 0.8129
Zn 0.0021 0.5010 0.0640
Zn 0.1674 0.3348 0.8953



*Q*
Material: Nd3DyZn8
Method: DFT, GGA-PBE
State: optimized geometry

Properties
Crystal system: trigonal
D(E_F) (states/eV per atom): 0.594
Magnetization (μB/cell): 0.00

Lattice parameters (Å, degrees): 5.6656 5.6656 8.7177 90.00 90.00 120.00
Space group P3m1 (No. 156)
One atom of each set of equivalent atoms:
Nd 0.0000 0.0000 0.0000
Nd 0.0000 0.0000 0.3959
Nd 0.3333 0.6667 0.8933
Dy 0.3333 0.6667 0.5035
Zn 0.0001 0.5000 0.2015
Zn 0.3394 0.1697 0.6963
Zn 0.6667 0.3333 0.4463
Zn 0.6667 0.3333 0.9508



Quick one: most stable of them? *P*



*P*
Material: Nd2Dy2Zn
Method: DFT, GGA-PBE
State: optimized geometry

Properties
Crystal system: tetragonal
D(E_F) (states/eV per atom): 1.163
Magnetization (μB/cell): 0.00

Lattice parameters (Å, degrees): 3.6022 3.6022 22.7323 90.00 90.00 90.00
Space group I4/mmm (No. 139)
One atom of each set of equivalent atoms:
Nd 0.0000 0.0000 0.1917
Dy 0.0000 0.0000 0.4233
Zn 0.0000 0.0000 0.0000



*Q*
Material: Nd2Dy2Zn
Method: DFT, GGA-PBE
State: optimized geometry

Properties
Crystal system: monoclinic
D(E_F) (states/eV per atom): 1.007
Magnetization (μB/cell): 0.00

Lattice parameters (Å, degrees): 8.3454 9.4882 8.2203 90.00 115.19 90.00
Space group C2/m (No. 12)
One atom of each set of equivalent atoms:
Nd 0.1631 0.0000 0.4132
Nd 0.2250 0.5000 0.1238
Dy 0.0726 0.3117 0.7332
Zn 0.0000 0.1465 0.0000



Quick one: most stable of them? *P*



*P*
Material: NdDyZr
Method: DFT, GGA-PBE
State: optimized geometry

Properties
Crystal system: tetragonal
D(E_F) (states/eV per atom): 1.370
Magnetization (μB/cell): 0.00

Lattice parameters (Å, degrees): 3.8728 3.8728 12.0291 90.00 90.00 90.00
Space group P4/nmm (No. 129, origin choice 2)
One atom of each set of equivalent atoms:
Nd 0.2500 0.2500 0.2164
Dy 0.2500 0.2500 0.5904
Zr 0.2500 0.2500 0.9474



*Q*
Material: NdDyZr
Method: DFT, GGA-PBE
State: optimized geometry

Properties
Crystal system: monoclinic
D(E_F) (states/eV per atom): 1.246
Magnetization (μB/cell): 0.00

Lattice parameters (Å, degrees): 3.3990 4.8586 10.7203 90.00 99.09 90.00
Space group P2_1/m (No. 11)
One atom of each set of equivalent atoms:
Nd 0.0518 0.2500 0.1017
Dy 0.3627 0.2500 0.7272
Zr 0.2157 0.2500 0.4302



Quick one: most stable of them? *P*



*P*
Material: NdDyZr
Method: DFT, GGA-PBE
State: optimized geometry

Properties
Crystal system: trigonal
D(E_F) (states/eV per atom): 1.129
Magnetization (μB/cell): 0.00

Lattice parameters (Å, degrees): 3.4485 3.4485 8.5225 90.00 90.00 120.00
Space group P3m1 (No. 156)
One atom of each set of equivalent atoms:
Nd 0.0000 0.0000 0.0000
Dy 0.3333 0.6667 0.6272
Zr 0.6667 0.3333 0.3189



*Q*
Material: NdDyZr
Method: DFT, GGA-PBE
State: optimized geometry

Properties
Crystal system: tetragonal
D(E_F) (states/eV per atom): 1.439
Magnetization (μB/cell): 0.00

Lattice parameters (Å, degrees): 3.4143 3.4143 15.0851 90.00 90.00 90.00
Space group I4mm (No. 107)
One atom of each set of equivalent atoms:
Nd 0.0000 0.0000 0.0000
Dy 0.0000 0.0000 0.6889
Zr 0.0000 0.0000 0.3390



Quick one: most stable of them? *Q*



*P*
Material: Dy4Ni
Method: DFT, GGA-PBE
State: optimized geometry

Properties
Crystal system: tetragonal
D(E_F) (states/eV per atom): 1.373
Magnetization (μB/cell): 0.02

Lattice parameters (Å, degrees): 8.4703 8.4703 7.8158 90.00 90.00 90.00
Space group I-42d (No. 122)
One atom of each set of equivalent atoms:
Dy 0.0339 0.2037 0.3389
Ni 0.0000 0.0000 0.0000



*Q*
Material: Dy4Ni
Method: DFT, GGA-PBE
State: optimized geometry

Properties
Crystal system: cubic
D(E_F) (states/eV per atom): 1.998
Magnetization (μB/cell): 0.00

Lattice parameters (Å, degrees): 5.3019 5.3019 5.3019 90.00 90.00 90.00
Space group Pm-3m (No. 221)
One atom of each set of equivalent atoms:
Dy 0.0000 0.0000 0.0000
Dy 0.0000 0.5000 0.5000
Ni 0.5000 0.5000 0.5000



Quick one: most stable of them? *P*



*P*
Material: Dy3Ni2
Method: DFT, GGA-PBE
State: optimized geometry

Properties
Crystal system: monoclinic
D(E_F) (states/eV per atom): 0.785
Magnetization (μB/cell): 0.00

Lattice parameters (Å, degrees): 17.6090 3.9993 10.3306 90.00 97.56 90.00
Space group C2/m (No. 12)
One atom of each set of equivalent atoms:
Dy 0.0000 0.0000 0.0000
Dy 0.0392 0.0000 0.6593
Dy 0.1222 0.5000 0.2756
Dy 0.1711 0.5000 0.9515
Dy 0.2088 0.5000 0.6150
Ni 0.0286 0.5000 0.8276
Ni 0.1356 0.0000 0.4616
Ni 0.1873 0.0000 0.1390



*Q*
Material: Dy3Ni2
Method: DFT, GGA-PBE
State: optimized geometry

Properties
Crystal system: monoclinic
D(E_F) (states/eV per atom): 0.852
Magnetization (μB/cell): 0.00

Lattice parameters (Å, degrees): 13.2969 3.6807 9.5116 90.00 105.61 90.00
Space group C2/m (No. 12)
One atom of each set of equivalent atoms:
Dy 0.0981 0.0000 0.1734
Dy 0.1316 0.5000 0.4974
Dy 0.1432 0.5000 0.8667
Ni 0.0344 0.0000 0.6441
Ni 0.2426 0.0000 0.7257



*R*
Material: Dy3Ni2
Method: DFT, GGA-PBE
State: optimized geometry

Properties
Crystal system: orthorhombic
D(E_F) (states/eV per atom): 0.932
Magnetization (μB/cell): 0.00

Lattice parameters (Å, degrees): 4.3381 14.2239 3.6536 90.00 90.00 90.00
Space group Cmmm (No. 65)
One atom of each set of equivalent atoms:
Dy 0.0000 0.0000 0.0000
Dy 0.0000 0.3476 0.5000
Ni 0.0000 0.1972 0.0000



*S*
Material: Dy3Ni2
Method: DFT, GGA-PBE
State: optimized geometry

Properties
Crystal system: trigonal
D(E_F) (states/eV per atom): 0.572
Magnetization (μB/cell): 0.00

Lattice parameters (Å, degrees): 6.7054 6.7054 18.2197 90.00 90.00 120.00
Space group R-3c (No. 167, hexagonal axes)
One atom of each set of equivalent atoms:
Dy 0.0000 0.3738 0.2500
Ni 0.0000 0.0000 0.1840



Quick one: most stable of them? *Q*



*P*
Material: Dy2PaNi
Method: DFT, GGA-PBE
State: optimized geometry

Properties
Crystal system: tetragonal
D(E_F) (states/eV per atom): 1.256
Magnetization (μB/cell): 0.32

Lattice parameters (Å, degrees): 3.3578 3.3578 8.2887 90.00 90.00 90.00
Space group P4/mmm (No. 123)
One atom of each set of equivalent atoms:
Dy 0.0000 0.0000 0.2009
Pa 0.5000 0.5000 0.5000
Ni 0.5000 0.5000 0.0000



*Q*
Material: Dy2PaNi
Method: DFT, GGA-PBE
State: optimized geometry

Properties
Crystal system: trigonal
D(E_F) (states/eV per atom): 1.181
Magnetization (μB/cell): 0.00

Lattice parameters (Å, degrees): 3.3177 3.3177 31.1729 90.00 90.00 120.00
Space group R-3m (No. 166, hexagonal axes)
One atom of each set of equivalent atoms:
Dy 0.0000 0.0000 0.1048
Pa 0.0000 0.0000 0.0000
Ni 0.0000 0.0000 0.5000



Quick one: most stable of them? *P*



*P*
Material: DyPaNiRh
Method: DFT, GGA-PBE
State: optimized geometry

Properties
Crystal system: cubic
D(E_F) (states/eV per atom): 1.209
Magnetization (μB/cell): 0.00

Lattice parameters (Å, degrees): 6.8265 6.8265 6.8265 90.00 90.00 90.00
Space group F-43m (No. 216)
One atom of each set of equivalent atoms:
Dy 0.0000 0.0000 0.0000
Pa 0.0000 0.0000 0.5000
Ni 0.2500 0.2500 0.2500
Rh 0.2500 0.2500 0.7500



*Q*
Material: DyPaNiRh
Method: DFT, GGA-PBE
State: optimized geometry

Properties
Crystal system: orthorhombic
D(E_F) (states/eV per atom): 1.181
Magnetization (μB/cell): 0.00

Lattice parameters (Å, degrees): 4.4762 3.5825 10.1329 90.00 90.00 90.00
Space group Amm2 (No. 38)
One atom of each set of equivalent atoms:
Dy 0.0000 0.0000 0.0000
Pa 0.5000 0.0000 0.2755
Ni 0.0000 0.0000 0.7295
Rh 0.5000 0.0000 0.5548



Quick one: most stable of them? *Q*



*P*
Material: Dy4NiPb
Method: DFT, GGA-PBE
State: optimized geometry

Properties
Crystal system: monoclinic
D(E_F) (states/eV per atom): 1.039
Magnetization (μB/cell): 0.00

Lattice parameters (Å, degrees): 8.7333 12.8322 6.1666 90.00 108.08 90.00
Space group C2/c (No. 15)
One atom of each set of equivalent atoms:
Dy 0.1089 0.1616 0.0493
Dy 0.2113 0.4148 0.3902
Ni 0.0000 0.0003 0.2500
Pb 0.0000 0.3747 0.7500



*Q*
Material: Dy4NiPb
Method: DFT, GGA-PBE
State: optimized geometry

Properties
Crystal system: monoclinic
D(E_F) (states/eV per atom): 0.874
Magnetization (μB/cell): 0.00

Lattice parameters (Å, degrees): 5.6611 6.8739 8.5199 90.00 102.47 90.00
Space group P2_1/m (No. 11)
One atom of each set of equivalent atoms:
Dy 0.1255 0.2500 0.0593
Dy 0.2119 0.7500 0.3593
Dy 0.3426 0.5055 0.7825
Ni 0.3438 0.7500 0.0504
Pb 0.2232 0.2500 0.4336



Quick one: most stable of them? *Q*